Hf2GaSbPd2 | PBE | relaxed

Unit cell a=6.265 b=6.265 c=7.668 alpha=65.89 beta=65.89 gamma=90.00
Element x y z (fractional)
Ga 0.000 0.000 0.000
Ga 0.250 0.750 0.500
Hf 0.493 0.993 0.014
Hf 0.757 0.757 0.486
Hf 0.243 0.243 0.514
Hf 0.007 0.507 0.986
Pd 0.125 0.627 0.250
Pd 0.625 0.123 0.250
Pd 0.373 0.375 0.750
Pd 0.877 0.875 0.750
Sb 0.500 0.500 0.000
Sb 0.750 0.250 0.500

Crystal system   tetragonal



PmHfGa | PBE | relaxed

Unit cell a=4.938 b=4.938 c=4.938 alpha=60.00 beta=60.00 gamma=60.00
Site moments in Bohr magnetons follow the coordinates.
Element x y z (fractional)
Ga 0.500 0.500 0.500  -0.01
Hf 0.000 0.000 0.000  0.08
Pm 0.250 0.250 0.250  0.03

Crystal system   cubic



PmHfGa | PBE | relaxed

Unit cell a=4.794 b=4.794 c=4.794 alpha=60.00 beta=60.00 gamma=60.00
Element x y z (fractional)
Ga 0.000 0.000 0.000
Hf 0.250 0.250 0.250
Pm 0.750 0.750 0.750

Crystal system   cubic



PrHfGa | PBE | relaxed

Unit cell a=4.966 b=4.966 c=4.966 alpha=60.00 beta=60.00 gamma=60.00
Element x y z (fractional)
Ga 0.250 0.250 0.250
Hf 0.750 0.750 0.750
Pr 0.000 0.000 0.000

Crystal system   cubic



What energy values result from the calculations? In sequence: -83.302, -15.309, -17.664, -15.263 eV/cell.
What M_tot values result from the calculations? In sequence: 0.00, 0.19, 0.02, 0.86 μB per formula unit.
What V values result from the calculations? In sequence: 245.7, 85.2, 77.9, 86.6 Å³/cell.